1.
Below is an optimized crystal structure of K3ThI8, with properties calculated at the GGA-PBE level.

Computed properties:
Final energy ... -3.082 eV per atom
Uncorrected formation energy ... -26.66 kcal/mol of atoms
DOS at the Fermi energy ... 10.36 states/eV per cell

Unit cell a=8.220 b=8.220 c=8.220 alpha=90.00 beta=90.00 gamma=90.00
Space group Pm-3m (No. 221)
Inequivalent atoms, fractional coordinates:
K 0.000 0.000 0.500
Th 0.500 0.500 0.500
I 0.270 0.270 0.270



2.
Below is an optimized crystal structure of K2ThI6, with properties calculated at the GGA-PBE level.

Computed properties:
Final energy ... -3.470 eV per atom
Uncorrected formation energy ... -31.56 kcal/mol of atoms
DOS at the Fermi energy ... 0.00 states/eV per cell

Unit cell a=8.328 b=9.045 c=14.040 alpha=90.00 beta=122.99 gamma=90.00
Space group P2_1/c (No. 14)
Inequivalent atoms, fractional coordinates:
K 0.200 0.099 0.238
Th 0.500 0.000 0.000
I 0.142 0.179 0.944
I 0.272 0.709 0.941
I 0.379 0.032 0.751



3.
Below is an optimized crystal structure of KThI2, with properties calculated at the GGA-PBE level.

Computed properties:
Final energy ... -3.683 eV per atom
Uncorrected formation energy ... -17.94 kcal/mol of atoms
DOS at the Fermi energy ... 6.47 states/eV per cell

Unit cell a=3.9867 b=3.9867 c=35.8419 alpha=90.00 beta=90.00 gamma=120.00
Space group R-3m (No. 166, hexagonal axes)
Inequivalent atoms, fractional coordinates:
K 0.0000 0.0000 0.0000
Th 0.0000 0.0000 0.5000
I 0.0000 0.0000 0.1025



4.
Below is an optimized crystal structure of KThI5, with properties calculated at the GGA-PBE level.

Computed properties:
Final energy ... -3.586 eV per atom
Uncorrected formation energy ... -29.11 kcal/mol of atoms
DOS at the Fermi energy ... 0.00 states/eV per cell

Unit cell a=14.024 b=9.686 c=12.338 alpha=90.00 beta=114.07 gamma=90.00
Space group C2/c (No. 15)
Inequivalent atoms, fractional coordinates:
K 0.000 0.033 0.250
Th 0.000 0.500 0.000
I 0.000 0.421 0.250
I 0.077 0.206 0.995
I 0.222 0.400 0.623



5.
Below is an optimized crystal structure of KThTlI6, with properties calculated at the GGA-PBE level.

Computed properties:
Final energy ... -3.409 eV per atom
Uncorrected formation energy ... -26.89 kcal/mol of atoms
DOS at the Fermi energy ... 0.00 states/eV per cell

Unit cell a=8.6095 b=8.6095 c=14.5153 alpha=90.00 beta=90.00 gamma=120.00
Space group P-31c (No. 163)
Inequivalent atoms, fractional coordinates:
K 0.3333 0.6667 0.2500
Th 0.3333 0.6667 0.7500
Tl 0.0000 0.0000 0.0000
I 0.0418 0.3743 0.6267



6.
Below is an optimized crystal structure of KTiI2, with properties calculated at the GGA-PBE level.

Computed properties:
Final energy ... -3.574 eV per atom
Uncorrected formation energy ... -12.71 kcal/mol of atoms
DOS at the Fermi energy ... 4.30 states/eV per cell

Unit cell a=4.6468 b=4.6468 c=21.9160 alpha=90.00 beta=90.00 gamma=120.00
Space group R-3m (No. 166, hexagonal axes)
Inequivalent atoms, fractional coordinates:
K 0.0000 0.0000 0.0000
Ti 0.0000 0.0000 0.5000
I 0.0000 0.0000 0.2302



Which of these has the highest DOS at the Fermi energy?
K3ThI8



DOS at the Fermi energy of number 4 (KThI5)?
0.00 states/eV per cell



Number 3 is which compound?
KThI2



Which value of DOS at the Fermi energy does entry 5 give?
0.00 states/eV per cell